A relaxed Sc5In4Co2 crystal. Source: Alexandria via LeMat-Bulk, functional PBE.

a b c (Å): 3.346 7.565 17.273
angles (deg): 90.00 90.00 90.00
Sites, in units of the cell vectors:
1 Co 0.000 0.537 0.806
2 Co 0.000 0.963 0.306
3 Co 0.000 0.037 0.694
4 Co 0.000 0.463 0.194
5 Sc 0.500 0.241 0.279
6 Sc 0.500 0.259 0.779
7 Sc 0.500 0.741 0.221
8 Sc 0.500 0.624 0.909
9 Sc 0.500 0.124 0.591
10 Sc 0.500 0.000 0.000
11 Sc 0.500 0.759 0.721
12 Sc 0.500 0.376 0.091
13 Sc 0.500 0.500 0.500
14 Sc 0.500 0.876 0.409
15 In 0.000 0.301 0.933
16 In 0.000 0.065 0.152
17 In 0.000 0.935 0.848
18 In 0.000 0.699 0.067
19 In 0.000 0.435 0.652
20 In 0.000 0.565 0.348
21 In 0.000 0.199 0.433
22 In 0.000 0.801 0.567

Output
The value obtained for the energy of formation from the pure elements is -0.4535 eV/atom.